# Ca2NiSeF

Crystalline Ca2NiSeF at its relaxed geometry (PBE with a Hubbard U, the Alexandria database). Values from VASP.

Calculated values
The value obtained for the total energy is -3.18 eV per atom. The calculation puts the magnetization at 0.00 μB per atom. The calculation puts the polymorph energy (0 for the lowest one) at 0.0 meV/atom. Its crystal system is tetragonal.

Geometry as Quantum ESPRESSO input:
```
&SYSTEM
  ibrav = 0, nat = 5, ntyp = 4
/
ATOMIC_SPECIES
Ca 40.08 Ca.upf
Ni 58.69 Ni.upf
F 19.00 F.upf
Se 78.96 Se.upf
CELL_PARAMETERS angstrom
-0.515 -0.729 -5.486
1.762 -3.858 0.347
-5.033 -2.230 0.769
ATOMIC_POSITIONS crystal
Ca 0.500 0.000 0.000
Ca 0.000 0.000 0.500
Ni 0.000 0.500 0.000
F 0.500 0.500 0.500
Se 0.000 0.000 0.000
```